## CaYMo (GGA-PBE)

Data for a relaxed CaYMo crystal.

abc: 8.1551 8.0086 3.2172
angles: 81.09 75.97 22.94
Closest atoms and distances in Å follow each position.
Positions (direct):
Ca 0.0000 0.0000 0.0000  4 Mo 3.07-3.43, 4 Ca 3.22
Y 0.2839 0.2839 0.7161  2 Mo 2.88, 4 Y 3.22
Mo 0.6499 0.6499 0.3501  2 Y 2.88, 2 Ca 3.07, 4 Mo 3.22

Properties
Magnetization in μB/cell: 0.00
Density of states at the Fermi level in states/eV/atom: 1.34
ΔE_f in eV per atom: 0.58
Space-group type: No. 42